Record 1
Computed, not measured: RbTl2VBr8 after structural relaxation at the PBE level of DFT.

Cell: 6.6607 8.0125 9.4426 Å, 89.99 90.01 119.10°
Each line ends with the local moment (μB).
Atoms (fractional coordinates):
Rb 0.0000 0.0000 0.5000  0.00
Tl 0.5008 0.4997 0.7469  -0.05
Tl 0.4992 0.5003 0.2531  -0.05
V 0.0000 0.0000 0.0000  0.89
Br 0.0227 0.7868 0.1851  -0.04
Br 0.5768 0.8057 0.9995  -0.05
Br 0.9762 0.2127 0.1848  -0.04
Br 0.9773 0.2132 0.8149  -0.04
Br 0.4232 0.1943 0.0005  -0.05
Br 0.0238 0.7873 0.8152  -0.04
Br 0.4108 0.6991 0.5004  -0.05
Br 0.5892 0.3009 0.4996  -0.05

Record 2
Computed, not measured: Rb2TlVBr6 after structural relaxation at the PBE level of DFT.

Cell: 8.0718 8.0718 8.0719 Å, 60.00 60.00 90.00°
Each line ends with the local moment (μB).
Atoms (fractional coordinates):
Tl 0.0000 0.0000 0.0000  -0.01
Br 0.2761 0.2761 0.4477  -0.02
Br 0.7239 0.7239 0.5523  -0.02
Br 0.2762 0.2762 0.0000  -0.02
Br 0.7238 0.7238 0.0000  -0.02
Br 0.7238 0.2762 0.0000  -0.02
Br 0.2762 0.7238 0.0000  -0.02
Rb 0.7500 0.2500 0.5000  0.00
Rb 0.2500 0.7500 0.5000  0.00
V 0.5000 0.5000 0.0000  1.90

Record 3
Computed, not measured: Rb3Tl3VBr8 after structural relaxation at the PBE level of DFT.

Cell: 9.6017 9.6017 9.4755 Å, 120.45 90.00 120.00°
Each line ends with the local moment (μB).
Atoms (fractional coordinates):
Rb 0.5000 0.0000 0.5000  0.00
Rb 0.5000 0.5000 0.5000  0.00
Rb 0.0000 0.5000 0.5000  0.00
Tl 0.0000 0.0000 0.0000  0.00
Tl 0.0000 0.5000 0.0000  0.00
Tl 0.5000 0.5000 0.0000  0.00
V 0.0000 0.0000 0.5000  2.63
Br 0.2478 0.4955 0.2433  0.00
Br 0.7522 0.5045 0.7567  0.00
Br 0.7994 0.5988 0.2946  -0.01
Br 0.2006 0.4012 0.7054  -0.01
Br 0.7994 0.9954 0.2947  -0.01
Br 0.2006 0.0046 0.7053  -0.01
Br 0.1959 0.9954 0.2947  -0.01
Br 0.8041 0.0046 0.7053  -0.01

no.,total moment (μB/f.u.),formation energy from raw total energies (eV per formula unit)
1,0.40,-10.49
2,2.00,-11.88
3,3.00,-17.81